(1)
DFT (PBE) results for an optimized crystal structure of Tm3Al6Ga5.

## Properties
Formation energy: -368 meV/atom
Crystal system: orthorhombic
Space group: Pmmn (59)

Unit cell a=4.1709 b=9.9144 c=12.7694 alpha=90.00 beta=90.00 gamma=90.00
Positions (direct):
Al: 0.0000 0.0232 0.5000
Al: 0.5000 0.5430 0.0000
Al: 0.5000 0.0152 0.6499
Al: 0.0000 0.6085 0.6700
Al: 0.0000 0.6085 0.3300
Al: 0.5000 0.3915 0.1700
Al: 0.0000 0.9848 0.8501
Al: 0.5000 0.3915 0.8300
Al: 0.0000 0.4570 0.5000
Al: 0.0000 0.9848 0.1499
Al: 0.5000 0.0152 0.3501
Al: 0.5000 0.9768 0.0000
Tm: 0.0000 0.2483 0.6797
Tm: 0.0000 0.2619 0.0000
Tm: 0.5000 0.7517 0.8203
Tm: 0.0000 0.2483 0.3203
Tm: 0.5000 0.7517 0.1797
Tm: 0.5000 0.7381 0.5000
Ga: 0.0000 0.8613 0.3368
Ga: 0.0000 0.7794 0.0000
Ga: 0.0000 0.5361 0.8671
Ga: 0.0000 0.8613 0.6632
Ga: 0.0000 0.5361 0.1329
Ga: 0.5000 0.1387 0.1632
Ga: 0.5000 0.1387 0.8368
Ga: 0.5000 0.4639 0.3671
Ga: 0.5000 0.2206 0.5000
Ga: 0.5000 0.4639 0.6329

(2)
DFT (PBE) results for an optimized crystal structure of Zr2TiAlO.

## Properties
Crystal system: tetragonal
Formation energy from raw total energies: -1.2043 eV/atom
Space group: P4/mmm (123)

Unit cell a=4.5455 b=4.5455 c=3.9966 alpha=90.00 beta=90.00 gamma=90.00
Positions (direct):
Ti: 0.0000 0.0000 0.5000
Zr: 0.5000 0.0000 0.0000
Zr: 0.0000 0.5000 0.0000
Al: 0.5000 0.5000 0.5000
O: 0.0000 0.0000 0.0000

(3)
DFT (PBE) results for an optimized crystal structure of Tb5Er4Th4.

## Properties
Formation energy: 32 meV/atom
Crystal system: tetragonal
Space group: I4/m (87)

Unit cell a=5.0337 b=9.3976 c=9.3976 alpha=85.89 beta=74.47 gamma=74.47
Positions (direct):
Er: 0.1533 0.0799 0.6136
Er: 0.2331 0.6136 0.9201
Er: 0.7669 0.3864 0.0799
Er: 0.8467 0.9201 0.3864
Tb: 0.3053 0.1561 0.2333
Tb: 0.6947 0.8439 0.7667
Tb: 0.4614 0.2333 0.8439
Tb: 0.5386 0.7667 0.1561
Tb: 0.0000 0.0000 0.0000
Th: 0.6146 0.3105 0.4603
Th: 0.3854 0.6895 0.5397
Th: 0.0749 0.5397 0.3105
Th: 0.9251 0.4603 0.6895

(4)
DFT (PBE) results for an optimized crystal structure of ZnFeW.

## Properties
Formation energy: 229 meV/atom
Crystal system: tetragonal
Space group: I4mm (107)
Excess energy over the best structure of this formula in the dataset: 0.25 eV per formula unit

Unit cell a=6.3917 b=6.3917 c=6.3917 alpha=156.29 beta=156.29 gamma=33.79
Positions (direct):
Zn: 0.6597 0.6597 0.0000
W: 0.3351 0.3351 0.0000
Fe: 0.0052 0.0052 0.0000